1.
Compound: CdPtW2
Source: the Alexandria database
Functional: PBE-GGA
Structure: relaxed

abc: 3.448 3.448 5.915
angles: 90.00 90.00 90.00
Fractional coordinates of all 4 atoms:
Cd 0.000 0.000 0.000
Pt 0.000 0.000 0.500
W 0.500 0.500 0.291
W 0.500 0.500 0.709

Formation enthalpy at 0 K (kJ/mol of formula units): 200
Spin magnetization (Bohr magnetons per cell): 0.0

=====

2.
Compound: BaTeSe
Source: the Alexandria database
Functional: PBE-GGA
Structure: relaxed

abc: 4.864 5.222 5.604
angles: 62.36 73.17 89.90
Fractional coordinates of all 3 atoms:
Ba 0.000 0.000 0.000
Te 0.471 0.438 0.128
Se 0.622 0.433 0.624

E_form (uncorrected) (eV per atom): -1.239
Excess energy over the best structure of this formula in the dataset (meV per atom): 41
Spin magnetization (Bohr magnetons per cell): 0.0

=====

3.
Compound: BaTaW2
Source: the Alexandria database
Functional: PBE-GGA
Structure: relaxed

abc: 3.170 4.965 5.042
angles: 90.00 90.00 90.00
Fractional coordinates of all 4 atoms:
Ba 0.000 0.000 0.000
Ta 0.500 0.500 0.000
W 0.000 0.500 0.500
W 0.500 0.000 0.500

Formation enthalpy at 0 K (kJ/mol of formula units): 569
Excess energy over the best structure of this formula in the dataset (meV per atom): 721
Spin magnetization (Bohr magnetons per cell): 0.0